First-principles (PBE) data for Tl3FeBi2S6 after structural relaxation, as listed in Alexandria.

Summary:
**Uncorrected formation energy**: -0.3319 eV/atom

```
data_Tl3FeBi2S6
_cell_length_a 6.9395
_cell_length_b 11.9452
_cell_length_c 7.7137
_cell_angle_alpha 90.00
_cell_angle_beta 107.24
_cell_angle_gamma 90.00
_space_group_name_H-M_alt 'C 1 2/m 1'
_space_group_IT_number 12
_space_group_name_Hall '-C 2y'
loop_
_atom_site_label
_atom_site_type_symbol
_atom_site_fract_x
_atom_site_fract_y
_atom_site_fract_z
Tl1 Tl 0.0000 0.0000 0.0000
Tl2 Tl 0.0000 0.3283 0.0000
Fe1 Fe 0.0000 0.5000 0.5000
Bi1 Bi 0.0000 0.1663 0.5000
S1 S 0.2134 0.3507 0.6937
S2 S 0.2343 0.5000 0.2969
```